First-principles (GGA-PBE) data for a geometry-optimized Er2TmTe structure, as listed in Alexandria via LeMat-Bulk.

Summary:
DFT total energy: -4.808 eV per atom
calculated volume: 28.40 Å³ per atom
space-group type: Cmcm
raw formation energy: -623 meV per atom
DOS at the Fermi energy: 1.13 states/eV/atom
distance to the lowest polymorph of the same formula: 0 meV/atom

Unit cell a=6.315 b=6.315 c=9.740 alpha=90.00 beta=90.00 gamma=144.20
Element x y z (fractional)
Er 0.134 0.866 0.537
Er 0.134 0.866 0.963
Er 0.866 0.134 0.037
Er 0.866 0.134 0.463
Tm 0.444 0.556 0.750
Tm 0.556 0.444 0.250
Te 0.264 0.736 0.250
Te 0.736 0.264 0.750